DFT (PBE-GGA) results for a relaxed ReAsAu2 crystal.

The value obtained for the total energy is -5.24 eV per atom. The value obtained for the energy relative to the elements is 0.67 eV per atom.

It has space group P4/mmm (No. 123), with a = 3.917 Å, b = 3.917 Å, c = 4.432 Å, α = 90.00°, β = 90.00° and γ = 90.00°. The distinct sites, in fractional coordinates, are Re at (0.000, 0.000, 0.000), As at (0.500, 0.500, 0.000) and Au at (0.000, 0.500, 0.500).